Material: YSeN2
Method: DFT, GGA-PBE
State: relaxed

The structure belongs to space group R-3m (No. 166, hexagonal axes); the cell edges are 3.2597, 3.2597 and 20.3519 Å and the angles 90.00°, 90.00° and 120.00°. Symmetry generates all atoms from Y at (0.0000, 0.0000, 0.0000), Se at (0.0000, 0.0000, 0.5000) and N at (0.0000, 0.0000, 0.1114).

As for the formation energy (no corrections): 82.2 kJ/mol of atoms.